Compound: Nd2Dy3Sc3
Source: Alexandria via LeMat-Bulk
Functional: PBE
Structure: optimized geometry

Unit cell a=6.1597 b=6.1597 c=8.3703 alpha=68.41 beta=68.41 gamma=60.00
Last column: nearest neighbours and their distance in Å.
Sites, in units of the cell vectors:
Nd  0.2088  0.2088  0.3737  1 Dy 3.13, 3 Sc 3.34
Dy  0.0709  0.0709  0.7872  1 Nd 3.13, 1 Dy 3.22, 6 Sc 3.48
Dy  0.9291  0.9291  0.2128  1 Nd 3.13, 1 Dy 3.22, 6 Sc 3.48
Sc  0.5000  0.0000  0.0000  4 Sc 3.08, 2 Nd 3.34
Sc  0.0000  0.5000  0.0000  4 Sc 3.08, 2 Nd 3.34
Nd  0.7912  0.7912  0.6263  1 Dy 3.13, 3 Sc 3.34
Sc  0.5000  0.5000  0.0000  4 Sc 3.08, 2 Nd 3.34
Dy  0.5000  0.5000  0.5000  6 Nd 3.68

Computed properties:
polymorph energy (0 for the lowest one): 0.220 eV per atom
size of the total moment: 0.000 μB/atom
calculated formation energy: 256 meV/atom
final energy: -5.0359 eV/atom